1.
! NaIn12Sn4 (PBE-GGA, optimized geometry); values from VASP
! **Spin magnetization**: 0.00 μB per atom
! **Crystal system**: cubic
! **Energy of formation from the pure elements**: 0.099 eV per atom
&SYSTEM
  ibrav = 0, nat = 17, ntyp = 3
/
ATOMIC_SPECIES
Na 22.99 Na.upf
In 114.82 In.upf
Sn 118.71 Sn.upf
CELL_PARAMETERS angstrom
-5.119 5.119 5.119
5.119 -5.119 5.119
5.119 5.119 -5.119
ATOMIC_POSITIONS crystal
Na 0.000 0.000 0.000
In 0.145 0.498 0.353
In 0.145 0.793 0.647
In 0.207 0.353 0.855
In 0.353 0.145 0.498
In 0.353 0.855 0.207
In 0.498 0.353 0.145
In 0.502 0.647 0.855
In 0.647 0.145 0.793
In 0.647 0.855 0.502
In 0.793 0.647 0.145
In 0.855 0.207 0.353
In 0.855 0.502 0.647
Sn 0.000 0.000 0.500
Sn 0.000 0.500 0.000
Sn 0.500 0.000 0.000
Sn 0.500 0.500 0.500



2.
! OsBr4 (PBE-GGA, optimized geometry); values from VASP
! **Polymorph energy (0 for the lowest one)**: 562 meV per atom
! **Spin magnetization**: 0.12 μB per atom
! **Crystal system**: cubic
! **Raw formation energy**: 0.483 eV/atom
&SYSTEM
  ibrav = 0, nat = 5, ntyp = 2
/
ATOMIC_SPECIES
Os 190.23 Os.upf
Br 79.90 Br.upf
CELL_PARAMETERS angstrom
5.048 0.000 0.000
0.000 5.048 0.000
0.000 0.000 5.048
ATOMIC_POSITIONS crystal
Os 0.000 0.000 0.000
Br 0.000 0.000 0.500
Br 0.000 0.500 0.000
Br 0.500 0.000 0.000
Br 0.500 0.500 0.500



3.
! FeTc (PBE-GGA, optimized geometry); values from VASP
! **Spin magnetization**: 1.35 μB per atom
! **Crystal system**: cubic
! **Energy of formation from the pure elements**: 0.148 eV per atom
&SYSTEM
  ibrav = 0, nat = 4, ntyp = 2
/
ATOMIC_SPECIES
Fe 55.84 Fe.upf
Tc 98.00 Tc.upf
CELL_PARAMETERS angstrom
0.000 2.992 2.992
2.992 0.000 2.992
2.992 2.992 0.000
ATOMIC_POSITIONS crystal
Fe 0.125 0.125 0.125
Fe 0.875 0.875 0.875
Tc 0.375 0.375 0.375
Tc 0.625 0.625 0.625



4.
! SmHoSc2Tl4 (PBE-GGA, optimized geometry); values from VASP
! **Spin magnetization**: 0.00 μB per atom
! **Crystal system**: trigonal
! **Energy of formation from the pure elements**: -0.294 eV per atom
&SYSTEM
  ibrav = 0, nat = 8, ntyp = 4
/
ATOMIC_SPECIES
Sm 150.36 Sm.upf
Ho 164.93 Ho.upf
Sc 44.96 Sc.upf
Tl 204.38 Tl.upf
CELL_PARAMETERS angstrom
2.629 1.518 8.604
-2.629 1.518 8.604
0.000 -3.036 8.604
ATOMIC_POSITIONS crystal
Sm 0.000 0.000 0.000
Ho 0.500 0.500 0.500
Sc 0.250 0.250 0.250
Sc 0.750 0.750 0.750
Tl 0.126 0.126 0.126
Tl 0.376 0.376 0.376
Tl 0.624 0.624 0.624
Tl 0.874 0.874 0.874



5.
! LaBe2Pd7 (PBE-GGA, optimized geometry); values from VASP
! **Spin magnetization**: 0.00 μB per atom
! **Crystal system**: orthorhombic
! **Energy of formation from the pure elements**: -0.323 eV per atom
&SYSTEM
  ibrav = 0, nat = 10, ntyp = 3
/
ATOMIC_SPECIES
La 138.91 La.upf
Be 9.01 Be.upf
Pd 106.42 Pd.upf
CELL_PARAMETERS angstrom
3.617 -5.561 0.000
3.617 5.561 0.000
0.000 0.000 4.311
ATOMIC_POSITIONS crystal
La 0.000 0.000 0.000
Be 0.291 0.709 0.500
Be 0.709 0.291 0.500
Pd 0.061 0.327 0.500
Pd 0.327 0.061 0.500
Pd 0.337 0.663 0.000
Pd 0.500 0.500 0.500
Pd 0.663 0.337 0.000
Pd 0.673 0.939 0.500
Pd 0.939 0.673 0.500



6.
! KEr2MnSe4 (PBE-GGA, optimized geometry); values from VASP
! **Spin magnetization**: 0.51 μB per atom
! **Crystal system**: orthorhombic
! **Raw formation energy**: -1.429 eV/atom
&SYSTEM
  ibrav = 0, nat = 16, ntyp = 4
/
ATOMIC_SPECIES
K 39.10 K.upf
Er 167.26 Er.upf
Mn 54.94 Mn.upf
Se 78.96 Se.upf
CELL_PARAMETERS angstrom
2.052 -7.039 0.000
2.052 7.039 0.000
0.000 0.000 14.376
ATOMIC_POSITIONS crystal
K 0.111 0.889 0.750
K 0.889 0.111 0.250
Er 0.368 0.632 0.562
Er 0.368 0.632 0.938
Er 0.632 0.368 0.062
Er 0.632 0.368 0.438
Mn 0.165 0.835 0.250
Mn 0.835 0.165 0.750
Se 0.000 0.000 0.000
Se 0.000 0.000 0.500
Se 0.265 0.735 0.109
Se 0.265 0.735 0.391
Se 0.436 0.564 0.750
Se 0.564 0.436 0.250
Se 0.735 0.265 0.609
Se 0.735 0.265 0.891



7.
! SrGeOF2 (PBE-GGA, optimized geometry); values from VASP
! **Polymorph energy (0 for the lowest one)**: 0 meV per atom
! **Spin magnetization**: 0.00 μB per atom
! **Crystal system**: tetragonal
! **Raw formation energy**: -2.182 eV/atom
&SYSTEM
  ibrav = 0, nat = 5, ntyp = 4
/
ATOMIC_SPECIES
Sr 87.62 Sr.upf
Ge 72.64 Ge.upf
O 16.00 O.upf
F 19.00 F.upf
CELL_PARAMETERS angstrom
4.358 0.000 0.000
0.000 4.358 0.000
0.000 0.000 4.336
ATOMIC_POSITIONS crystal
Sr 0.000 0.000 0.000
Ge 0.500 0.500 0.500
O 0.500 0.500 0.000
F 0.000 0.500 0.500
F 0.500 0.000 0.500



8.
! UMn2Sn (PBE-GGA, optimized geometry); values from VASP
! **Polymorph energy (0 for the lowest one)**: 46 meV per atom
! **Spin magnetization**: 0.57 μB per atom
! **Crystal system**: cubic
! **Energy of formation from the pure elements**: 0.108 eV per atom
&SYSTEM
  ibrav = 0, nat = 4, ntyp = 3
/
ATOMIC_SPECIES
U 238.03 U.upf
Mn 54.94 Mn.upf
Sn 118.71 Sn.upf
CELL_PARAMETERS angstrom
0.000 3.263 3.263
3.263 0.000 3.263
3.263 3.263 0.000
ATOMIC_POSITIONS crystal
U 0.000 0.000 0.000
Mn 0.250 0.250 0.250
Mn 0.750 0.750 0.750
Sn 0.500 0.500 0.500